ZrIrOs2Ru | PBEsol | optimized geometry

a = 4.6718 Å, b = 4.6718 Å, c = 4.6642 Å
α = 90.00°, β = 90.00°, γ = 90.00°
Last column: nearest neighbours and their distance in Å.
Space group P4/mmm (No. 123)
Asymmetric unit:
1 Zr 0.0000 0.0000 0.0000  2 Ir 2.33, 4 Os 2.34
2 Ir 0.0000 0.0000 0.5000  2 Zr 2.33
3 Os 0.0000 0.5000 0.0000  2 Zr 2.34
4 Ru 0.5000 0.5000 0.5000  8 Os 3.30, 4 Ir 3.30

Computed properties:
As for the mass density: 12.48 g cm⁻³. As for the calculated formation energy: 2.704 eV/atom. The total magnetic moment is 3.14 μB/f.u.